Entry 1:
{
  "formula": "TbPm8Tl2",
  "functional": "GGA-PBE",
  "state": "relaxed",
  "polymorph_energy_kj_per_mol_fu": 0.0,
  "formation_enthalpy_0k_ev_per_atom": -0.10,
  "vol_a3_per_cell": 356.29,
  "dft_energy_ev_per_atom": -4.411,
  "magnetic_moment_mub_per_atom": 0.000,
  "lattice_angstrom": [[-2.873, -3.889, -1.920], [0.545, -4.012, 7.312], [-5.580, 7.224, 0.765]],
  "species": ["Pm", "Tl", "Tb", "Pm", "Pm", "Pm", "Pm", "Pm", "Pm", "Pm", "Tl"],
  "frac_coords": [[0.400, 0.536, 0.800], [0.777, 0.359, 0.555], [0.500, 0.000, 0.000], [0.314, 0.053, 0.628], [0.855, 0.796, 0.710], [0.686, 0.947, 0.372], [0.600, 0.464, 0.200], [0.052, 0.738, 0.104], [0.145, 0.204, 0.290], [0.948, 0.262, 0.896], [0.223, 0.641, 0.445]]
}

---

Entry 2:
{
  "formula": "Tb6PmTl",
  "functional": "GGA-PBE",
  "state": "relaxed",
  "formation_enthalpy_0k_ev_per_atom": -0.07,
  "vol_a3_per_cell": 246.09,
  "dft_energy_ev_per_atom": -4.435,
  "magnetic_moment_mub_per_atom": 0.000,
  "lattice_angstrom": [[-4.392, 1.479, -1.664], [-1.410, -4.696, -0.451], [-3.550, 0.152, 9.507]],
  "species": ["Tb", "Tb", "Pm", "Tb", "Tb", "Tb", "Tb", "Tl"],
  "frac_coords": [[0.500, 0.000, 0.743], [0.000, 0.500, 0.257], [0.000, 0.000, 0.000], [0.500, 0.000, 0.257], [0.500, 0.500, 0.500], [0.500, 0.500, 0.000], [0.000, 0.500, 0.743], [0.000, 0.000, 0.500]]
}